Density functional theory data (GGA-PBE) for ThAl3Ir2 after structural relaxation.

abc: 9.5054 8.1285 5.6486
angles: 90.00 90.00 90.00
Space group Cmcm (No. 63)
Symmetry-distinct sites (fractional):
Th 0.0000 0.1406 0.2500 x4
Al 0.0000 0.4713 0.7500 x4
Al 0.1742 0.2248 0.7500 x8
Ir 0.2225 0.5000 0.0000 x8

## Properties
Calculated total energy ... -6.883 eV/atom



Density functional theory data (GGA-PBE) for ThAl6Ir after structural relaxation.

abc: 4.2849 4.2849 8.3420
angles: 90.00 90.00 90.00
Space group P4/mmm (No. 123)
Symmetry-distinct sites (fractional):
Th 0.0000 0.0000 0.0000 x1
Al 0.0000 0.5000 0.3364 x4
Al 0.5000 0.5000 0.1472 x2
Ir 0.0000 0.0000 0.5000 x1

## Properties
Calculated total energy ... -5.350 eV/atom



Density functional theory data (GGA-PBE) for ThAl3Ir after structural relaxation.

abc: 8.4654 4.2089 11.0260
angles: 90.00 90.00 90.00
Space group Pnma (No. 62)
Symmetry-distinct sites (fractional):
Th 0.1870 0.2500 0.0122 x4
Al 0.0541 0.2500 0.5837 x4
Al 0.1112 0.7500 0.7910 x4
Al 0.1453 0.7500 0.2213 x4
Ir 0.1070 0.2500 0.3541 x4

## Properties
Calculated total energy ... -6.230 eV/atom



Density functional theory data (GGA-PBE) for ThAlIr after structural relaxation.

abc: 8.0501 11.1287 11.9365
angles: 90.00 90.00 90.00
Space group Fddd (No. 70, origin choice 2)
Symmetry-distinct sites (fractional):
Th 0.0000 0.0000 0.0000 x16
Al 0.1250 0.0011 0.6250 x16
Ir 0.1250 0.1250 0.4408 x16

## Properties
Calculated total energy ... -7.282 eV/atom



Density functional theory data (GGA-PBE) for ThAl4Ir2 after structural relaxation.

abc: 17.4205 4.2929 6.7035
angles: 90.00 90.00 90.00
Space group Pnma (No. 62)
Symmetry-distinct sites (fractional):
Th 0.1386 0.2500 0.0201 x4
Al 0.0340 0.7500 0.8312 x4
Al 0.0720 0.2500 0.5009 x4
Al 0.1857 0.7500 0.3356 x4
Al 0.1935 0.7500 0.7288 x4
Ir 0.0387 0.7500 0.2446 x4
Ir 0.2186 0.2500 0.5335 x4

## Properties
Calculated total energy ... -6.523 eV/atom



Density functional theory data (GGA-PBE) for ThAlIr2 after structural relaxation.

abc: 5.8991 7.1130 8.4448
angles: 90.00 90.00 90.00
Space group Pmma (No. 51)
Symmetry-distinct sites (fractional):
Th 0.2500 0.0000 0.1479 x2
Th 0.2500 0.5000 0.2811 x2
Al 0.2500 0.0000 0.7462 x2
Al 0.2500 0.5000 0.7781 x2
Ir 0.0000 0.0000 0.5000 x2
Ir 0.0000 0.5000 0.0000 x2
Ir 0.2500 0.3024 0.5457 x4

## Properties
Calculated total energy ... -7.333 eV/atom



Density functional theory data (GGA-PBE) for Th2Al12Ir7 after structural relaxation.

abc: 9.9304 9.9304 4.1067
angles: 90.00 90.00 120.00
Space group P-6 (No. 174)
Symmetry-distinct sites (fractional):
Th 0.0000 0.0000 0.0000 x1
Th 0.3333 0.6667 0.5000 x1
Al 0.0137 0.7282 0.5000 x3
Al 0.1574 0.3868 0.0000 x3
Al 0.3795 0.1759 0.0000 x3
Al 0.5440 0.1376 0.5000 x3
Ir 0.0259 0.5548 0.0000 x3
Ir 0.2471 0.0044 0.5000 x3
Ir 0.6667 0.3333 0.0000 x1

## Properties
Calculated total energy ... -6.662 eV/atom



Density functional theory data (GGA-PBE) for Th2Al5Ir3 after structural relaxation.

abc: 4.2795 25.4133 6.9326
angles: 90.00 90.00 90.00
Space group Cmc2_1 (No. 36)
Symmetry-distinct sites (fractional):
Th 0.0000 0.0224 0.0000 x4
Th 0.0000 0.3239 0.9445 x4
Al 0.0000 0.1012 0.6322 x4
Al 0.0000 0.2060 0.1249 x4
Al 0.0000 0.2107 0.7380 x4
Al 0.0000 0.3704 0.4756 x4
Al 0.0000 0.4431 0.8367 x4
Ir 0.0000 0.1084 0.2476 x4
Ir 0.0000 0.2700 0.4298 x4
Ir 0.0000 0.4511 0.2185 x4

## Properties
Calculated total energy ... -6.847 eV/atom